VASP calculation (PBE) on crystalline Pa2Te3Se at its relaxed geometry.

```
data_Pa2Te3Se
_chemical_formula_sum 'Pa8 Te12 Se4'
_cell_length_a 17.3624
_cell_length_b 4.4480
_cell_length_c 11.8804
_cell_angle_alpha 90.00
_cell_angle_beta 117.57
_cell_angle_gamma 90.00
_symmetry_space_group_name_H-M 'C 1 2/m 1'
_symmetry_Int_Tables_number 12
_symmetry_space_group_name_Hall '-C 2y'
loop_
_atom_site_label
_atom_site_fract_x
_atom_site_fract_y
_atom_site_fract_z
Pa1 0.1128 0.0000 0.4387
Pa2 0.1464 0.5000 0.8220
Te1 0.0499 0.5000 0.2346
Te2 0.1551 0.0000 0.0093
Te3 0.2321 0.5000 0.6282
Se1 0.0738 0.0000 0.6522
```

Values from the calculation:
D(E_F)   42.2 states/eV per cell
ΔE_f (raw)   -949 meV per atom



VASP calculation (PBE) on crystalline Mn2Al2Cd at its relaxed geometry.

```
data_Mn2Al2Cd
_chemical_formula_sum 'Mn4 Al4 Cd2'
_cell_length_a 7.3110
_cell_length_b 7.3110
_cell_length_c 2.8977
_cell_angle_alpha 90.00
_cell_angle_beta 90.00
_cell_angle_gamma 90.00
_symmetry_space_group_name_H-M 'P 4/m b m'
_symmetry_Int_Tables_number 127
_symmetry_space_group_name_Hall '-P 4 2ab'
loop_
_atom_site_label
_atom_site_fract_x
_atom_site_fract_y
_atom_site_fract_z
Mn1 0.1670 0.3330 0.0000
Al1 0.1282 0.6282 0.5000
Cd1 0.0000 0.0000 0.5000
```

Values from the calculation:
D(E_F)   4.0 states/eV per cell
ΔE_f   -0.009 eV/atom



VASP calculation (PBE) on crystalline Mg2SnI at its relaxed geometry.

```
data_Mg2SnI
_chemical_formula_sum 'Mg8 Sn4 I4'
_cell_length_a 6.9257
_cell_length_b 6.9257
_cell_length_c 12.7232
_cell_angle_alpha 90.00
_cell_angle_beta 90.00
_cell_angle_gamma 90.00
_symmetry_space_group_name_H-M 'I -4 2 d'
_symmetry_Int_Tables_number 122
_symmetry_space_group_name_Hall 'I -4 2bw'
loop_
_atom_site_label
_atom_site_fract_x
_atom_site_fract_y
_atom_site_fract_z
Mg1 0.2237 0.2500 0.1250
Sn1 0.0000 0.0000 0.0000
I1 0.0000 0.0000 0.5000
```

Values from the calculation:
D(E_F)   9.4 states/eV per cell
ΔE_f (raw)   -128 meV per atom



VASP calculation (PBE) on crystalline Zn2FeHBr at its relaxed geometry.

```
data_Zn2FeHBr
_chemical_formula_sum 'Zn2 Fe1 H1 Br1'
_cell_length_a 4.9149
_cell_length_b 4.9149
_cell_length_c 3.1569
_cell_angle_alpha 90.00
_cell_angle_beta 90.00
_cell_angle_gamma 90.00
_symmetry_space_group_name_H-M 'P 4/m m m'
_symmetry_Int_Tables_number 123
_symmetry_space_group_name_Hall '-P 4 2'
loop_
_atom_site_label
_atom_site_fract_x
_atom_site_fract_y
_atom_site_fract_z
Zn1 0.0000 0.5000 0.0000
Fe1 0.0000 0.0000 0.5000
H1 0.0000 0.0000 0.0000
Br1 0.5000 0.5000 0.5000
```

Values from the calculation:
D(E_F)   1.9 states/eV per cell
E   -2.771 eV per atom



VASP calculation (PBE) on crystalline LaHfB2 at its relaxed geometry.

```
data_LaHfB2
_chemical_formula_sum 'La4 Hf4 B8'
_cell_length_a 6.3946
_cell_length_b 6.3946
_cell_length_c 6.3946
_cell_angle_alpha 90.00
_cell_angle_beta 90.00
_cell_angle_gamma 90.00
_symmetry_space_group_name_H-M 'F m -3 m'
_symmetry_Int_Tables_number 225
_symmetry_space_group_name_Hall '-F 4 2 3'
loop_
_atom_site_label
_atom_site_fract_x
_atom_site_fract_y
_atom_site_fract_z
La1 0.0000 0.0000 0.0000
Hf1 0.0000 0.0000 0.5000
B1 0.2500 0.2500 0.2500
```

Values from the calculation:
D(E_F)   11.8 states/eV per cell
ΔE_f   0.444 eV/atom



VASP calculation (PBE) on crystalline Tl5Hg at its relaxed geometry.

```
data_Tl5Hg
_chemical_formula_sum 'Tl5 Hg1'
_cell_length_a 5.9163
_cell_length_b 5.9163
_cell_length_c 5.9996
_cell_angle_alpha 90.00
_cell_angle_beta 90.00
_cell_angle_gamma 120.00
_symmetry_space_group_name_H-M 'P -6 2 m'
_symmetry_Int_Tables_number 189
_symmetry_space_group_name_Hall 'P -6 -2'
loop_
_atom_site_label
_atom_site_fract_x
_atom_site_fract_y
_atom_site_fract_z
Tl1 0.0000 0.6688 0.0000
Tl2 0.3333 0.6667 0.5000
Hg1 0.0000 0.0000 0.5000
```

Values from the calculation:
D(E_F)   3.5 states/eV per cell
ΔE_f   0.018 eV/atom



VASP calculation (PBE) on crystalline Ca2ScTc at its relaxed geometry.

```
data_Ca2ScTc
_chemical_formula_sum 'Ca6 Sc3 Tc3'
_cell_length_a 3.4525
_cell_length_b 3.4525
_cell_length_c 31.4195
_cell_angle_alpha 90.00
_cell_angle_beta 90.00
_cell_angle_gamma 120.00
_symmetry_space_group_name_H-M 'R 3 m'
_symmetry_Int_Tables_number 160
_symmetry_space_group_name_Hall 'R 3 -2"'
loop_
_atom_site_label
_atom_site_fract_x
_atom_site_fract_y
_atom_site_fract_z
Ca1 0.0000 0.0000 0.0000
Ca2 0.0000 0.0000 0.2257
Sc1 0.0000 0.0000 0.7670
Tc1 0.0000 0.0000 0.4893
```

Values from the calculation:
D(E_F)   7.9 states/eV per cell
ΔE_f   0.290 eV/atom



VASP calculation (PBE) on crystalline PaGe2Sb at its relaxed geometry.

```
data_PaGe2Sb
_chemical_formula_sum 'Pa1 Ge2 Sb1'
_cell_length_a 4.4841
_cell_length_b 4.4841
_cell_length_c 4.2641
_cell_angle_alpha 90.00
_cell_angle_beta 90.00
_cell_angle_gamma 90.00
_symmetry_space_group_name_H-M 'P 4/m m m'
_symmetry_Int_Tables_number 123
_symmetry_space_group_name_Hall '-P 4 2'
loop_
_atom_site_label
_atom_site_fract_x
_atom_site_fract_y
_atom_site_fract_z
Pa1 0.0000 0.0000 0.0000
Ge1 0.0000 0.5000 0.5000
Sb1 0.5000 0.5000 0.0000
```

Values from the calculation:
D(E_F)   2.5 states/eV per cell
ΔE_f (raw)   -394 meV per atom



VASP calculation (PBE) on crystalline GaAg3Br6 at its relaxed geometry.

```
data_GaAg3Br6
_chemical_formula_sum 'Ga2 Ag6 Br12'
_cell_length_a 7.2228
_cell_length_b 6.9355
_cell_length_c 12.7196
_cell_angle_alpha 90.00
_cell_angle_beta 122.31
_cell_angle_gamma 90.00
_symmetry_space_group_name_H-M 'P 1 21/c 1'
_symmetry_Int_Tables_number 14
_symmetry_space_group_name_Hall '-P 2ybc'
loop_
_atom_site_label
_atom_site_fract_x
_atom_site_fract_y
_atom_site_fract_z
Ga1 0.0000 0.0000 0.0000
Ag1 0.2932 0.0117 0.7625
Ag2 0.5000 0.0000 0.5000
Br1 0.0641 0.1948 0.4189
Br2 0.2665 0.6726 0.4471
Br3 0.3297 0.0993 0.2271
```

Values from the calculation:
ΔE_f (raw)   -438 meV per atom



VASP calculation (PBE) on crystalline ScTc2W at its relaxed geometry.

```
data_ScTc2W
_chemical_formula_sum 'Sc4 Tc8 W4'
_cell_length_a 6.3279
_cell_length_b 6.3279
_cell_length_c 6.3279
_cell_angle_alpha 90.00
_cell_angle_beta 90.00
_cell_angle_gamma 90.00
_symmetry_space_group_name_H-M 'F -4 3 m'
_symmetry_Int_Tables_number 216
_symmetry_space_group_name_Hall 'F -4 2 3'
loop_
_atom_site_label
_atom_site_fract_x
_atom_site_fract_y
_atom_site_fract_z
Sc1 0.0000 0.0000 0.0000
Tc1 0.0000 0.0000 0.5000
Tc2 0.2500 0.2500 0.2500
W1 0.2500 0.2500 0.7500
```

Values from the calculation:
D(E_F)   9.0 states/eV per cell
ΔE_f   0.034 eV/atom



VASP calculation (PBE) on crystalline PuSbH at its relaxed geometry.

```
data_PuSbH
_chemical_formula_sum 'Pu2 Sb2 H2'
_cell_length_a 4.4384
_cell_length_b 4.4384
_cell_length_c 7.1483
_cell_angle_alpha 90.00
_cell_angle_beta 90.00
_cell_angle_gamma 90.00
_symmetry_space_group_name_H-M 'I 4 m m'
_symmetry_Int_Tables_number 107
_symmetry_space_group_name_Hall 'I 4 -2'
loop_
_atom_site_label
_atom_site_fract_x
_atom_site_fract_y
_atom_site_fract_z
Pu1 0.0000 0.0000 0.0000
Sb1 0.0000 0.0000 0.4371
H1 0.0000 0.0000 0.6951
```

Values from the calculation:
D(E_F)   21.9 states/eV per cell
E   -7.287 eV per atom



VASP calculation (PBE) on crystalline Sc5P at its relaxed geometry.

```
data_Sc5P
_chemical_formula_sum 'Sc10 P2'
_cell_length_a 10.9591
_cell_length_b 3.4070
_cell_length_c 7.6754
_cell_angle_alpha 90.00
_cell_angle_beta 112.97
_cell_angle_gamma 90.00
_symmetry_space_group_name_H-M 'C 1 2/m 1'
_symmetry_Int_Tables_number 12
_symmetry_space_group_name_Hall '-C 2y'
loop_
_atom_site_label
_atom_site_fract_x
_atom_site_fract_y
_atom_site_fract_z
Sc1 0.0000 0.0000 0.0000
Sc2 0.1331 0.5000 0.3702
Sc3 0.1717 0.5000 0.7988
P1 0.0000 0.0000 0.5000
```

Values from the calculation:
D(E_F)   16.1 states/eV per cell
ΔE_f   -0.376 eV/atom



VASP calculation (PBE) on crystalline Sc2PdPt9 at its relaxed geometry.

```
data_Sc2PdPt9
_chemical_formula_sum 'Sc2 Pd1 Pt9'
_cell_length_a 3.9811
_cell_length_b 3.9811
_cell_length_c 12.0553
_cell_angle_alpha 90.00
_cell_angle_beta 90.00
_cell_angle_gamma 90.00
_symmetry_space_group_name_H-M 'P 4/m m m'
_symmetry_Int_Tables_number 123
_symmetry_space_group_name_Hall '-P 4 2'
loop_
_atom_site_label
_atom_site_fract_x
_atom_site_fract_y
_atom_site_fract_z
Sc1 0.0000 0.0000 0.1680
Pd1 0.0000 0.0000 0.5000
Pt1 0.0000 0.5000 0.0000
Pt2 0.0000 0.5000 0.3326
Pt3 0.5000 0.5000 0.1662
Pt4 0.5000 0.5000 0.5000
```

Values from the calculation:
D(E_F)   14.4 states/eV per cell
ΔE_f   -0.712 eV/atom